# KLaAu2

A geometry-optimized KLaAu2 structure (PBEsol, Alexandria via LeMat-Bulk).

Values from the calculation:
**Fermi-level density of states**: 0.489 states/eV per atom
**Total moment**: 0.000 μB/atom
**Space group**: P4/mmm, No. 123
**Crystal system**: tetragonal
**Energy of formation from the pure elements**: -497 meV/atom

Lattice parameters (Å, degrees): 3.7975 3.7975 7.9220 90.00 90.00 90.00
Last column: nearest neighbours and their distance in Å.
Positions (direct):
K: 0.0000 0.0000 0.0000  8 Au 3.63, 4 K 3.80, 2 La 3.96
La: 0.0000 0.0000 0.5000  8 Au 3.08
Au: 0.5000 0.5000 0.3086  1 Au 3.03, 4 La 3.08
Au: 0.5000 0.5000 0.6914  1 Au 3.03, 4 La 3.08

***

# Mg7Cu

A geometry-optimized Mg7Cu structure (PBEsol, Alexandria via LeMat-Bulk).

Values from the calculation:
**Fermi-level density of states**: 0.454 states/eV per atom
**Total moment**: 0.000 μB/atom
**Space group**: Fm-3m, No. 225
**Crystal system**: cubic
**Energy of formation from the pure elements**: 68 meV/atom

Lattice parameters (Å, degrees): 6.1397 6.1397 6.1397 60.00 60.00 60.00
Last column: nearest neighbours and their distance in Å.
Positions (direct):
Mg: 0.0000 0.0000 0.0000  12 Mg 3.07
Mg: 0.0000 0.0000 0.5000  10 Mg 3.07, 2 Cu 3.07
Mg: 0.0000 0.5000 0.0000  10 Mg 3.07, 2 Cu 3.07
Mg: 0.0000 0.5000 0.5000  2 Cu 3.07, 10 Mg 3.07
Mg: 0.5000 0.0000 0.0000  10 Mg 3.07, 2 Cu 3.07
Mg: 0.5000 0.0000 0.5000  2 Cu 3.07, 10 Mg 3.07
Mg: 0.5000 0.5000 0.0000  2 Cu 3.07, 10 Mg 3.07
Cu: 0.5000 0.5000 0.5000  12 Mg 3.07

***

# HfMoRhW2

A geometry-optimized HfMoRhW2 structure (PBEsol, Alexandria via LeMat-Bulk).

Values from the calculation:
**Fermi-level density of states**: 0.904 states/eV per atom
**Total moment**: 0.051 μB/atom
**Space group**: P4/mmm, No. 123
**Crystal system**: tetragonal
**Energy of formation from the pure elements**: 2336 meV/atom

Lattice parameters (Å, degrees): 4.7043 4.7043 4.4833 90.00 90.00 90.00
Last column: nearest neighbours and their distance in Å.
Positions (direct):
Hf: 0.0000 0.0000 0.0000  2 Rh 2.24, 4 W 2.35
Mo: 0.5000 0.5000 0.5000  8 W 3.25, 4 Rh 3.33
Rh: 0.0000 0.0000 0.5000  2 Hf 2.24
W: 0.0000 0.5000 0.0000  2 Hf 2.35
W: 0.5000 0.0000 0.0000  2 Hf 2.35

***

# TlAg2Pb

A geometry-optimized TlAg2Pb structure (PBEsol, Alexandria via LeMat-Bulk).

Values from the calculation:
**Fermi-level density of states**: 0.331 states/eV per atom
**Total moment**: 0.000 μB/atom
**Space group**: Pm, No. 6
**Crystal system**: monoclinic
**Energy of formation from the pure elements**: 85 meV/atom

Lattice parameters (Å, degrees): 3.5043 4.6640 5.7089 90.00 107.37 90.00
Last column: nearest neighbours and their distance in Å.
Positions (direct):
Tl: 0.0000 0.0000 0.0000  7 Ag 2.98-3.03
Ag: 0.5716 0.5000 0.1475  2 Ag 2.86, 3 Pb 2.97-3.04, 4 Tl 3.03
Ag: 0.7208 0.0000 0.4529  2 Ag 2.86, 3 Tl 2.98-3.03, 4 Pb 3.03
Pb: 0.2927 0.5000 0.6024  7 Ag 2.97-3.04

***

# AgI

A geometry-optimized AgI structure (PBEsol, Alexandria via LeMat-Bulk).

Values from the calculation:
**Fermi-level density of states**: 0.019 states/eV per atom
**Total moment**: 0.000 μB/atom
**Space group**: Fm-3m, No. 225
**E_form (uncorrected)**: -136.9 meV per atom
**Crystal system**: cubic

Lattice parameters (Å, degrees): 4.2253 4.2253 4.2253 60.00 60.00 60.00
Last column: nearest neighbours and their distance in Å.
Positions (direct):
Ag: 0.0000 0.0000 0.0000  6 I 2.99
I: 0.5000 0.5000 0.5000  6 Ag 2.99

***

# Nd2Mn3FeGe4

A geometry-optimized Nd2Mn3FeGe4 structure (PBEsol, Alexandria via LeMat-Bulk).

Values from the calculation:
**Fermi-level density of states**: 0.647 states/eV per atom
**Total moment**: 0.671 μB/atom
**Space group**: P-4m2, No. 115
**Crystal system**: tetragonal
**Energy of formation from the pure elements**: -475 meV/atom

Lattice parameters (Å, degrees): 3.9418 3.9418 10.7127 90.00 90.00 90.00
Last column: nearest neighbours and their distance in Å.
Positions (direct):
Nd: 0.0000 0.5000 0.2473  8 Ge 3.09, 6 Mn 3.30-3.35, 2 Fe 3.30
Nd: 0.5000 0.0000 0.7527  8 Ge 3.09, 6 Mn 3.30-3.35, 2 Fe 3.30
Mn: 0.0000 0.0000 0.0000  4 Ge 2.38
Mn: 0.0000 0.0000 0.5000  4 Ge 2.40
Mn: 0.5000 0.5000 0.5000  4 Ge 2.40
Fe: 0.5000 0.5000 0.0000  4 Ge 2.38
Ge: 0.0000 0.5000 0.6280  4 Mn 2.40, 1 Ge 2.66
Ge: 0.0000 0.5000 0.8763  2 Mn 2.38, 2 Fe 2.38, 1 Ge 2.66
Ge: 0.5000 0.0000 0.1237  2 Mn 2.38, 2 Fe 2.38, 1 Ge 2.66
Ge: 0.5000 0.0000 0.3720  4 Mn 2.40, 1 Ge 2.66

***

# ZrZn2

A geometry-optimized ZrZn2 structure (PBEsol, Alexandria via LeMat-Bulk).

Values from the calculation:
**Fermi-level density of states**: 0.628 states/eV per atom
**Total moment**: 0.000 μB/atom
**Space group**: Cmcm, No. 63
**Crystal system**: orthorhombic
**Energy of formation from the pure elements**: -278 meV/atom

Lattice parameters (Å, degrees): 5.1125 5.1125 5.3629 90.00 90.00 135.23
Last column: nearest neighbours and their distance in Å.
Positions (direct):
Zr: 0.1978 0.8022 0.7500  9 Zn 2.72-3.01
Zr: 0.8022 0.1978 0.2500  9 Zn 2.72-3.01
Zn: 0.1018 0.8982 0.2500  4 Zn 2.55, 5 Zr 2.72-2.83
Zn: 0.5000 0.5000 0.0000  6 Zn 2.55-2.68
Zn: 0.5000 0.5000 0.5000  6 Zn 2.55-2.68
Zn: 0.8982 0.1018 0.7500  4 Zn 2.55, 5 Zr 2.72-2.83

***

# Li2ZnIn

A geometry-optimized Li2ZnIn structure (PBEsol, Alexandria via LeMat-Bulk).

Values from the calculation:
**Fermi-level density of states**: 0.383 states/eV per atom
**Total moment**: 0.000 μB/atom
**Space group**: I4/mmm, No. 139
**Crystal system**: tetragonal
**Energy of formation from the pure elements**: -208 meV/atom

Lattice parameters (Å, degrees): 5.0146 5.0146 5.0146 132.36 132.36 69.66
Last column: nearest neighbours and their distance in Å.
Positions (direct):
Li: 0.2500 0.7500 0.5000  4 Li 2.86, 4 In 2.89, 4 Zn 2.89
Li: 0.7500 0.2500 0.5000  4 Li 2.86, 4 In 2.89, 4 Zn 2.89
Zn: 0.0000 0.0000 0.0000  4 In 2.86, 8 Li 2.89
In: 0.5000 0.5000 0.0000  4 Zn 2.86, 8 Li 2.89

***

# MgTe2S

A geometry-optimized MgTe2S structure (PBEsol, Alexandria via LeMat-Bulk).

Values from the calculation:
**Fermi-level density of states**: 0.312 states/eV per atom
**Total moment**: 0.000 μB/atom
**Space group**: I-42d, No. 122
**E_form (uncorrected)**: -31.7 meV per atom
**Crystal system**: tetragonal

Lattice parameters (Å, degrees): 8.6472 8.6472 8.6472 141.25 141.25 55.96
Last column: nearest neighbours and their distance in Å.
Positions (direct):
Mg: 0.0000 0.0000 0.0000  4 Te 2.91
Mg: 0.7500 0.2500 0.5000  4 Te 2.91
Te: 0.1636 0.6250 0.0386  2 S 2.68, 2 Mg 2.91
Te: 0.3750 0.4136 0.5386  2 S 2.68, 2 Mg 2.91
Te: 0.5864 0.1250 0.9614  2 S 2.68, 2 Mg 2.91
Te: 0.8750 0.8364 0.4614  2 S 2.68, 2 Mg 2.91
S: 0.2500 0.7500 0.5000  4 Te 2.68
S: 0.5000 0.5000 0.0000  4 Te 2.68

***

# CePr3

A geometry-optimized CePr3 structure (PBEsol, Alexandria via LeMat-Bulk).

Values from the calculation:
**Fermi-level density of states**: 2.132 states/eV per atom
**Total moment**: 0.120 μB/atom
**Space group**: Pm-3m, No. 221
**Crystal system**: cubic
**Energy of formation from the pure elements**: 108 meV/atom

Lattice parameters (Å, degrees): 5.0339 5.0339 5.0339 90.00 90.00 90.00
Last column: nearest neighbours and their distance in Å.
Positions (direct):
Ce: 0.0000 0.0000 0.0000  12 Pr 3.56
Pr: 0.0000 0.5000 0.5000  8 Pr 3.56, 4 Ce 3.56
Pr: 0.5000 0.0000 0.5000  8 Pr 3.56, 4 Ce 3.56
Pr: 0.5000 0.5000 0.0000  8 Pr 3.56, 4 Ce 3.56

***

# LaAgIr2

A geometry-optimized LaAgIr2 structure (PBEsol, Alexandria via LeMat-Bulk).

Values from the calculation:
**Fermi-level density of states**: 1.056 states/eV per atom
**Total moment**: 0.000 μB/atom
**Space group**: P4mm, No. 99
**Crystal system**: tetragonal
**Energy of formation from the pure elements**: 173 meV/atom

Lattice parameters (Å, degrees): 2.8722 2.8722 8.6870 90.00 90.00 90.00
Last column: nearest neighbours and their distance in Å.
Positions (direct):
La: 0.0000 0.0000 0.0000  4 La 2.87, 4 Ir 3.18
Ag: 0.5000 0.5000 0.2971  4 Ir 2.84, 4 Ag 2.87
Ir: 0.0000 0.0000 0.5263  8 Ir 2.63-2.87, 4 Ag 2.84
Ir: 0.5000 0.5000 0.7180  8 Ir 2.63-2.87

***

# MnTeIrN2

A geometry-optimized MnTeIrN2 structure (PBEsol, Alexandria via LeMat-Bulk).

Values from the calculation:
**Fermi-level density of states**: 0.628 states/eV per atom
**Total moment**: 0.886 μB/atom
**Space group**: P4/mmm, No. 123
**E_form (uncorrected)**: 854.0 meV per atom
**Crystal system**: tetragonal

Lattice parameters (Å, degrees): 3.7911 3.7911 5.8395 90.00 90.00 90.00
Last column: nearest neighbours and their distance in Å.
Positions (direct):
Mn: 0.0000 0.0000 0.0000  4 Te 2.68
Te: 0.5000 0.5000 0.0000  4 Mn 2.68, 2 Ir 2.92
Ir: 0.5000 0.5000 0.5000  4 N 1.90
N: 0.0000 0.5000 0.5000  2 Ir 1.90
N: 0.5000 0.0000 0.5000  2 Ir 1.90